#1
RbTcNO, relaxed, DFT GGA-PBE; crystal system = tetragonal
1.0
2.617 -2.614 0.000
2.617 2.614 0.000
-0.001 0.000 10.750
Rb O Tc N
2 2 2 2
direct
0.250 0.250 0.822 Rb
0.750 0.750 0.182 Rb
0.750 0.250 0.002 O
0.250 0.750 0.002 O
0.250 0.750 0.498 Tc
0.750 0.250 0.498 Tc
0.250 0.250 0.414 N
0.750 0.750 0.582 N

#2
RbTcNO, relaxed, DFT GGA-PBE; crystal system = orthorhombic
1.0
-0.199 -0.822 -3.172
-1.181 -5.934 1.612
-6.807 1.374 0.071
Rb N O Tc
2 2 2 2
direct
0.000 0.501 0.286 Rb
0.000 0.001 0.714 Rb
0.000 0.998 0.301 N
0.000 0.498 0.699 N
0.500 0.754 0.997 O
0.500 0.254 0.003 O
0.500 0.501 0.833 Tc
0.500 0.001 0.167 Tc

Energies in meV/atom, measured from the most stable structure: #1 715; #2 0.

#1
RbTmNO, relaxed, DFT GGA-PBE; crystal system = orthorhombic
1.0
-3.274 0.623 1.435
-2.847 -1.428 -5.875
-0.490 -7.098 1.963
Rb O N Tm
2 2 2 2
direct
0.500 0.507 0.812 Rb
0.500 0.007 0.188 Rb
0.500 0.948 0.817 O
0.500 0.448 0.183 O
0.000 0.802 0.435 N
0.000 0.302 0.565 N
0.000 0.997 0.675 Tm
0.000 0.497 0.325 Tm

#2
RbTmNO, relaxed, DFT GGA-PBE; crystal system = orthorhombic
1.0
6.559 0.000 0.000
0.000 9.267 0.000
0.000 0.000 6.029
Tm O Rb N
4 4 4 4
direct
0.091 0.596 0.982 Tm
0.909 0.404 0.482 Tm
0.409 0.596 0.482 Tm
0.591 0.404 0.982 Tm
0.121 0.549 0.634 O
0.379 0.549 0.134 O
0.621 0.451 0.634 O
0.879 0.451 0.134 O
0.443 0.127 0.534 Rb
0.557 0.873 0.034 Rb
0.057 0.127 0.034 Rb
0.943 0.873 0.534 Rb
0.506 0.185 0.052 N
0.494 0.815 0.552 N
0.006 0.815 0.052 N
0.994 0.185 0.552 N

Energies in meV/atom, measured from the most stable structure: #1 0; #2 60.

#1
RbTmNO, relaxed, DFT GGA-PBE; crystal system = tetragonal
1.0
-3.263 -1.006 2.079
-0.373 -3.322 -2.193
5.017 -4.365 5.761
O Rb N Tm
2 2 2 2
direct
0.500 0.500 0.000 O
0.000 0.000 0.000 O
0.000 0.000 0.500 Rb
0.500 0.500 0.500 Rb
0.000 0.500 0.278 N
0.500 0.000 0.722 N
0.000 0.500 0.890 Tm
0.500 0.000 0.110 Tm

#2
RbTmNO, relaxed, DFT GGA-PBE; crystal system = tetragonal
1.0
3.185 -3.183 0.000
3.185 3.183 0.000
0.000 0.000 10.057
O N Rb Tm
2 2 2 2
direct
0.250 0.750 0.000 O
0.750 0.250 0.000 O
0.750 0.750 0.543 N
0.250 0.250 0.457 N
0.750 0.750 0.859 Rb
0.250 0.250 0.141 Rb
0.250 0.750 0.500 Tm
0.750 0.250 0.500 Tm

Energies in meV/atom, measured from the most stable structure: #1 0; #2 49.

#1
RbTmNO, relaxed, DFT GGA-PBE; crystal system = tetragonal
1.0
-1.728 1.059 4.015
-4.115 0.146 -1.810
-1.183 -9.285 1.940
O Rb Tm N
2 2 2 2
direct
0.750 0.250 0.000 O
0.250 0.750 0.000 O
0.250 0.250 0.148 Rb
0.750 0.750 0.852 Rb
0.750 0.250 0.500 Tm
0.250 0.750 0.500 Tm
0.750 0.750 0.457 N
0.250 0.250 0.543 N

#2
RbTmNO, relaxed, DFT GGA-PBE; crystal system = orthorhombic
1.0
3.883 0.000 0.000
0.000 6.274 0.000
0.000 0.000 7.504
N Tm Rb O
2 2 2 2
direct
0.000 0.442 0.716 N
0.000 0.942 0.284 N
0.500 0.004 0.145 Tm
0.500 0.504 0.855 Tm
0.000 0.478 0.331 Rb
0.000 0.978 0.669 Rb
0.500 0.831 0.906 O
0.500 0.331 0.094 O

Energies in meV/atom, measured from the most stable structure: #1 635; #2 0.

#1
RbZnNO, relaxed, DFT GGA-PBE; crystal system = tetragonal
1.0
3.592 0.000 0.000
0.000 3.592 0.000
0.000 0.000 10.416
N Rb Zn O
2 2 2 2
direct
0.250 0.250 0.595 N
0.750 0.750 0.405 N
0.250 0.250 0.197 Rb
0.750 0.750 0.803 Rb
0.250 0.750 0.500 Zn
0.750 0.250 0.500 Zn
0.750 0.250 0.000 O
0.250 0.750 0.000 O

#2
RbZnNO, relaxed, DFT GGA-PBE; crystal system = orthorhombic
1.0
3.481 0.000 0.000
0.000 6.213 0.000
0.000 0.000 6.556
Rb N O Zn
2 2 2 2
direct
0.000 0.001 0.740 Rb
0.000 0.501 0.260 Rb
0.000 0.002 0.297 N
0.000 0.502 0.703 N
0.500 0.250 0.999 O
0.500 0.750 0.001 O
0.500 0.501 0.821 Zn
0.500 0.001 0.179 Zn

Energies in meV/atom, measured from the most stable structure: #1 243; #2 0.

#1
RbZnNO, relaxed, DFT GGA-PBE; crystal system = orthorhombic
1.0
3.239 0.000 0.000
0.000 5.909 0.000
0.000 0.000 7.169
Rb O N Zn
2 2 2 2
direct
0.500 0.001 0.200 Rb
0.500 0.501 0.800 Rb
0.500 0.499 0.180 O
0.500 0.999 0.820 O
0.000 0.753 0.498 N
0.000 0.253 0.502 N
0.000 0.001 0.674 Zn
0.000 0.501 0.326 Zn

#2
RbZnNO, relaxed, DFT GGA-PBE; crystal system = tetragonal
1.0
-3.403 -2.695 -0.003
2.595 -3.277 1.169
-1.250 1.570 7.177
N O Rb Zn
2 2 2 2
direct
0.250 0.250 0.692 N
0.750 0.750 0.308 N
0.750 0.250 0.000 O
0.250 0.750 0.000 O
0.250 0.750 0.500 Rb
0.750 0.250 0.500 Rb
0.750 0.750 0.049 Zn
0.250 0.250 0.951 Zn

Energies in meV/atom, measured from the most stable structure: #1 0; #2 507.